Record 1
12
Lattice="6.775 0.000 0.000 3.387 5.867 0.000 3.387 1.956 9.749" Properties=species:S:1:pos:R:3 comment="RbLiCo2Br8 PBE-GGA relaxed" spacegroup=R-3 formation_energy_uncorrected_kj_per_mol_atoms=-69 pbc="T T T"
Br 7.897 1.916 8.100
Rb 6.775 3.912 4.875
Br 9.064 3.885 1.649
Br 3.387 1.956 4.693
Br 5.608 1.942 1.649
Br 4.486 3.938 8.100
Br 5.653 5.907 1.649
Br 7.942 5.881 8.100
Co 10.162 5.867 7.385
Br 10.162 5.867 5.056
Co 3.387 1.956 2.364
Li 0.000 0.000 0.000

Record 2
14
Lattice="7.612 0.000 0.000 -3.806 6.592 0.000 0.000 0.000 9.660" Properties=species:S:1:pos:R:3 comment="Rb3LiCo2Br8 PBE-GGA relaxed" spacegroup=P-3m1 formation_energy_uncorrected_kj_per_mol_atoms=-105 pbc="T T T"
Br 0.000 4.395 9.498
Br -1.931 5.510 3.098
Br 1.875 1.082 6.561
Co 3.806 2.197 7.475
Br 5.737 1.082 6.561
Rb 0.000 0.000 0.000
Rb 0.000 4.395 6.118
Br 3.806 4.427 6.561
Br 0.000 2.165 3.098
Br 3.806 2.197 0.162
Rb 3.806 2.197 3.541
Br 1.931 5.510 3.098
Co 0.000 4.395 2.185
Li 0.000 0.000 4.830